[1]
DFT (GGA-PBE) results for a relaxed FeSb2Os crystal.

As for the formation energy without anion corrections: 1.83 eV/f.u. For the excess energy over the best structure of this formula in the dataset, the calculation gives 174 meV/atom. The value obtained for the calculated volume is 85.89 Å³/f.u. Its uncorrected energy is -6.527 eV per atom.

Cell lengths 10.2912, 10.2912, 10.2912 Å; angles 17.49, 17.49, 17.49 degrees
Closest atoms and distances in Å follow each position.
Fractional coordinates of all 4 atoms:
Fe1 0.0000 0.0000 0.0000  3 Os 2.60, 3 Sb 2.72
Sb1 0.2664 0.2664 0.2664  3 Fe 2.72
Sb2 0.4622 0.4622 0.4622  3 Os 2.73
Os1 0.7280 0.7280 0.7280  3 Fe 2.60, 3 Sb 2.73



[2]
DFT (GGA-PBE) results for a relaxed TbCu5Ni crystal.

The value obtained for the calculated volume is 99.38 Å³/f.u. Its uncorrected energy is -4.565 eV per atom.

Cell lengths 7.9706, 5.0172, 9.9404 Å; angles 90.00, 90.00, 90.00 degrees
Closest atoms and distances in Å follow each position.
Fractional coordinates of all 28 atoms:
Tb1 0.2416 0.2500 0.0671  11 Cu 2.84-3.10, 1 Ni 2.96
Tb2 0.2584 0.7500 0.5671  11 Cu 2.84-3.10, 1 Ni 2.96
Tb3 0.7416 0.2500 0.4329  11 Cu 2.84-3.10, 1 Ni 2.96
Tb4 0.7584 0.7500 0.9329  11 Cu 2.84-3.10, 1 Ni 2.96
Cu1 0.0620 0.7500 0.0886  1 Ni 2.46, 4 Cu 2.48-2.64
Cu2 0.0629 0.0070 0.3071  7 Cu 2.44-2.58, 2 Ni 2.62-2.63
Cu3 0.0629 0.4930 0.3071  7 Cu 2.44-2.58, 2 Ni 2.62-2.63
Cu4 0.1041 0.2500 0.5173  5 Cu 2.44-2.55, 1 Ni 2.56
Cu5 0.1847 0.2500 0.7597  7 Cu 2.44-2.64, 2 Ni 2.69
Cu6 0.3153 0.7500 0.2597  7 Cu 2.44-2.64, 2 Ni 2.69
Cu7 0.3959 0.7500 0.0173  5 Cu 2.44-2.55, 1 Ni 2.56
Cu8 0.4371 0.5070 0.8071  7 Cu 2.44-2.58, 2 Ni 2.62-2.63
Cu9 0.4371 0.9930 0.8071  7 Cu 2.44-2.58, 2 Ni 2.62-2.63
Cu10 0.4380 0.2500 0.5886  1 Ni 2.46, 4 Cu 2.48-2.64
Cu11 0.5620 0.7500 0.4114  1 Ni 2.46, 4 Cu 2.48-2.64
Cu12 0.5629 0.0070 0.1929  7 Cu 2.44-2.58, 2 Ni 2.62-2.63
Cu13 0.5629 0.4930 0.1929  7 Cu 2.44-2.58, 2 Ni 2.62-2.63
Cu14 0.6041 0.2500 0.9827  5 Cu 2.44-2.55, 1 Ni 2.56
Cu15 0.6847 0.2500 0.7403  7 Cu 2.44-2.64, 2 Ni 2.69
Cu16 0.8153 0.7500 0.2403  7 Cu 2.44-2.64, 2 Ni 2.69
Cu17 0.8959 0.7500 0.4827  5 Cu 2.44-2.55, 1 Ni 2.56
Cu18 0.9371 0.5070 0.6929  7 Cu 2.44-2.58, 2 Ni 2.62-2.63
Cu19 0.9371 0.9930 0.6929  7 Cu 2.44-2.58, 2 Ni 2.62-2.63
Cu20 0.9380 0.2500 0.9114  1 Ni 2.46, 4 Cu 2.48-2.64
Ni1 0.1500 0.7500 0.8519  8 Cu 2.46-2.69
Ni2 0.3500 0.2500 0.3519  8 Cu 2.46-2.69
Ni3 0.6500 0.7500 0.6481  8 Cu 2.46-2.69
Ni4 0.8500 0.2500 0.1481  8 Cu 2.46-2.69



[3]
DFT (GGA-PBE) results for a relaxed Sr2Ni2As crystal.

For the excess energy over the best structure of this formula in the dataset, the calculation gives 0 meV/atom. The value obtained for the calculated volume is 108.47 Å³/f.u. Its uncorrected energy is -4.128 eV per atom.

Cell lengths 6.9775, 6.9775, 4.4559 Å; angles 90.00, 90.00, 90.00 degrees
Closest atoms and distances in Å follow each position.
Fractional coordinates of all 10 atoms:
Sr1 0.1863 0.3137 0.0000  6 Ni 2.94-3.12
Sr2 0.3137 0.8137 0.0000  6 Ni 2.94-3.12
Sr3 0.6863 0.1863 0.0000  6 Ni 2.94-3.12
Sr4 0.8137 0.6863 0.0000  6 Ni 2.94-3.12
Ni1 0.1194 0.6194 0.5000  1 Ni 2.36
Ni2 0.3806 0.1194 0.5000  1 Ni 2.36
Ni3 0.6194 0.8806 0.5000  1 Ni 2.36
Ni4 0.8806 0.3806 0.5000  1 Ni 2.36
As1 0.0000 0.0000 0.5000  4 Ni 2.78
As2 0.5000 0.5000 0.5000  4 Ni 2.78



Number 1: DOS at the Fermi energy 0.692 states/eV/atom, magnetic moment 0.753 μB/atom. Number 2: DOS at the Fermi energy 0.598 states/eV/atom, magnetic moment 0.000 μB/atom. Number 3: DOS at the Fermi energy 0.882 states/eV/atom, magnetic moment 0.000 μB/atom.